[1]
# Y2ZnSi

A relaxed structure of Y2ZnSi (PBE-GGA, Alexandria).

raw formation energy: -0.15 eV per atom
total magnetization: 0.00 μB per cell
total energy: -5.06 eV/atom

Unit cell a=3.431 b=3.431 c=8.008 alpha=90.00 beta=90.00 gamma=97.51
Fractional coordinates of all 4 atoms:
Y 0.000 0.000 0.947
Si 0.500 0.500 0.700
Zn 0.000 0.000 0.550
Y 0.500 0.500 0.303

---

[2]
# RbTl2BiSb

A relaxed structure of RbTl2BiSb (PBE-GGA, Alexandria).

raw formation energy: -0.13 eV per atom
total magnetization: 0.00 μB per cell
total energy: -2.87 eV/atom

Unit cell a=4.466 b=5.674 c=8.273 alpha=110.06 beta=105.66 gamma=90.00
Fractional coordinates of all 5 atoms:
Tl 0.052 0.052 0.104
Sb 0.829 0.829 0.658
Rb 0.432 0.432 0.864
Bi 0.185 0.685 0.369
Tl 0.714 0.214 0.429

---

[3]
# AlW2Au

A relaxed structure of AlW2Au (PBE-GGA, Alexandria).

energy relative to the elements: 180 meV per atom
total magnetization: 0.00 μB per cell
total energy: -8.05 eV/atom

Unit cell a=9.523 b=9.523 c=9.523 alpha=17.13 beta=17.13 gamma=17.13
Fractional coordinates of all 4 atoms:
W 0.247 0.247 0.247
Al 0.501 0.501 0.501
W 0.999 0.999 0.999
Au 0.753 0.753 0.753

---

[4]
# Zr2Np3NbN6

A relaxed structure of Zr2Np3NbN6 (PBE-GGA, Alexandria).

raw formation energy: -1.34 eV per atom
total magnetization: 8.95 μB per cell
total energy: -11.00 eV/atom

Unit cell a=5.746 b=5.746 c=5.787 alpha=99.52 beta=99.52 gamma=119.96
Each line ends with the local moment (μB).
Fractional coordinates of all 12 atoms:
N 0.253 0.253 0.764  -0.07
Np 0.834 0.166 0.500  3.02
Np 0.500 0.500 0.500  3.01
Np 0.166 0.834 0.500  3.02
N 0.410 0.079 0.236  -0.07
N 0.079 0.410 0.236  -0.07
N 0.590 0.921 0.764  -0.07
Zr 0.667 0.333 0.000  0.03
Zr 0.333 0.667 0.000  0.03
N 0.747 0.747 0.236  -0.07
N 0.921 0.590 0.764  -0.07
Nb 0.000 0.000 0.000  -0.17

---

[5]
# CoBr

A relaxed structure of CoBr (PBE-GGA, Alexandria).

raw formation energy: 0.23 eV per atom
total magnetization: 8.00 μB per cell
total energy: -4.16 eV/atom

Unit cell a=6.795 b=6.795 c=4.011 alpha=90.00 beta=90.00 gamma=90.00
Each line ends with the local moment (μB).
Fractional coordinates of all 8 atoms:
Co 0.886 0.886 0.500  1.89
Co 0.386 0.614 0.000  1.89
Br 0.233 0.767 0.500  0.08
Co 0.614 0.386 0.000  1.89
Br 0.267 0.267 0.000  0.08
Br 0.767 0.233 0.500  0.08
Co 0.114 0.114 0.500  1.89
Br 0.733 0.733 0.000  0.08

---

[6]
# NiPbAu2

A relaxed structure of NiPbAu2 (PBE-GGA, Alexandria).

energy relative to the elements: 160 meV per atom
total magnetization: 0.00 μB per cell
total energy: -3.85 eV/atom

Unit cell a=5.399 b=5.399 c=5.399 alpha=136.11 beta=136.11 gamma=63.81
Fractional coordinates of all 4 atoms:
Pb 0.750 0.250 0.500
Au 0.000 0.000 0.000
Au 0.500 0.500 0.000
Ni 0.250 0.750 0.500